Material: LaCd2Ge2
Method: DFT, SCAN
State: PBEsol geometry

Computed properties:
Fermi-level density of states in states/eV/cell: 3.372
Offset from the most stable computed form in meV/atom: 113
Energy of formation from the pure elements in meV/atom: -359
Calculated total energy in eV/atom: -28.781

```
data_LaCd2Ge2
_cell_length_a 4.7252
_cell_length_b 4.7252
_cell_length_c 10.2962
_cell_angle_alpha 90.00
_cell_angle_beta 90.00
_cell_angle_gamma 90.00
_space_group_name_H-M_alt 'P 1'
_space_group_IT_number 1
_space_group_name_Hall 'P 1'
loop_
_atom_site_label
_atom_site_fract_x
_atom_site_fract_y
_atom_site_fract_z
_atom_site_occupancy
La1 0.0000 0.0000 0.0000 1
La2 0.5000 0.5000 0.5000 1
Cd1 0.0000 0.0000 0.3725 1
Cd2 0.0000 0.0000 0.6275 1
Cd3 0.5000 0.5000 0.1275 1
Cd4 0.5000 0.5000 0.8725 1
Ge1 0.0000 0.5000 0.2500 1
Ge2 0.0000 0.5000 0.7500 1
Ge3 0.5000 0.0000 0.2500 1
Ge4 0.5000 0.0000 0.7500 1
```



Material: LaCd2Ge2
Method: DFT, SCAN
State: PBEsol geometry

Computed properties:
Fermi-level density of states in states/eV/cell: 3.787
Offset from the most stable computed form in meV/atom: 0
Energy of formation from the pure elements in meV/atom: -472
Calculated total energy in eV/atom: -28.894

```
data_LaCd2Ge2
_cell_length_a 4.2666
_cell_length_b 4.2666
_cell_length_c 12.1699
_cell_angle_alpha 90.00
_cell_angle_beta 90.00
_cell_angle_gamma 90.00
_space_group_name_H-M_alt 'P 1'
_space_group_IT_number 1
_space_group_name_Hall 'P 1'
loop_
_atom_site_label
_atom_site_fract_x
_atom_site_fract_y
_atom_site_fract_z
_atom_site_occupancy
La1 0.0000 0.0000 0.0000 1
La2 0.5000 0.5000 0.5000 1
Cd1 0.0000 0.5000 0.2500 1
Cd2 0.0000 0.5000 0.7500 1
Cd3 0.5000 0.0000 0.2500 1
Cd4 0.5000 0.0000 0.7500 1
Ge1 0.0000 0.0000 0.3969 1
Ge2 0.0000 0.0000 0.6031 1
Ge3 0.5000 0.5000 0.1031 1
Ge4 0.5000 0.5000 0.8969 1
```



Material: Li2CdGe2
Method: DFT, SCAN
State: PBEsol geometry

Computed properties:
Fermi-level density of states in states/eV/cell: 3.551
Energy of formation from the pure elements in meV/atom: -168
Calculated total energy in eV/atom: -14.842

```
data_Li2CdGe2
_cell_length_a 7.7028
_cell_length_b 7.7028
_cell_length_c 2.9093
_cell_angle_alpha 90.00
_cell_angle_beta 90.00
_cell_angle_gamma 90.00
_space_group_name_H-M_alt 'P 1'
_space_group_IT_number 1
_space_group_name_Hall 'P 1'
loop_
_atom_site_label
_atom_site_fract_x
_atom_site_fract_y
_atom_site_fract_z
_atom_site_occupancy
Li1 0.1858 0.3142 0.0000 1
Li2 0.3142 0.8142 0.0000 1
Li3 0.6858 0.1858 0.0000 1
Li4 0.8142 0.6858 0.0000 1
Cd1 0.0000 0.0000 0.5000 1
Cd2 0.5000 0.5000 0.5000 1
Ge1 0.1148 0.6148 0.5000 1
Ge2 0.3852 0.1148 0.5000 1
Ge3 0.6148 0.8852 0.5000 1
Ge4 0.8852 0.3852 0.5000 1
```



Material: NaLi2CdGe
Method: DFT, SCAN
State: PBEsol geometry

Computed properties:
Fermi-level density of states in states/eV/cell: 2.527
Energy of formation from the pure elements in meV/atom: 124
Calculated total energy in eV/atom: -11.575

```
data_NaLi2CdGe
_cell_length_a 4.8912
_cell_length_b 4.8912
_cell_length_c 5.3627
_cell_angle_alpha 90.00
_cell_angle_beta 90.00
_cell_angle_gamma 90.00
_space_group_name_H-M_alt 'P 1'
_space_group_IT_number 1
_space_group_name_Hall 'P 1'
loop_
_atom_site_label
_atom_site_fract_x
_atom_site_fract_y
_atom_site_fract_z
_atom_site_occupancy
Na1 0.0000 0.0000 0.0000 1
Li1 0.0000 0.5000 0.5000 1
Li2 0.5000 0.0000 0.5000 1
Cd1 0.5000 0.5000 0.0000 1
Ge1 0.0000 0.0000 0.5000 1
```



Material: Mg3CdGe
Method: DFT, SCAN
State: PBEsol geometry

Computed properties:
Fermi-level density of states in states/eV/cell: 1.754
Offset from the most stable computed form in meV/atom: 0
Energy of formation from the pure elements in meV/atom: 132
Calculated total energy in eV/atom: -12.752

```
data_Mg3CdGe
_cell_length_a 5.0369
_cell_length_b 5.0369
_cell_length_c 5.0369
_cell_angle_alpha 90.00
_cell_angle_beta 90.00
_cell_angle_gamma 90.00
_space_group_name_H-M_alt 'P 1'
_space_group_IT_number 1
_space_group_name_Hall 'P 1'
loop_
_atom_site_label
_atom_site_fract_x
_atom_site_fract_y
_atom_site_fract_z
_atom_site_occupancy
Mg1 0.0000 0.0000 0.5000 1
Mg2 0.0000 0.5000 0.0000 1
Mg3 0.5000 0.0000 0.0000 1
Cd1 0.5000 0.5000 0.5000 1
Ge1 0.0000 0.0000 0.0000 1
```



Material: Mg3CdGe
Method: DFT, SCAN
State: PBEsol geometry

Computed properties:
Fermi-level density of states in states/eV/cell: 2.932
Offset from the most stable computed form in meV/atom: 307
Energy of formation from the pure elements in meV/atom: 439
Calculated total energy in eV/atom: -12.446

```
data_Mg3CdGe
_cell_length_a 5.1072
_cell_length_b 5.1072
_cell_length_c 5.1072
_cell_angle_alpha 90.00
_cell_angle_beta 90.00
_cell_angle_gamma 90.00
_space_group_name_H-M_alt 'P 1'
_space_group_IT_number 1
_space_group_name_Hall 'P 1'
loop_
_atom_site_label
_atom_site_fract_x
_atom_site_fract_y
_atom_site_fract_z
_atom_site_occupancy
Mg1 0.0000 0.0000 0.5000 1
Mg2 0.0000 0.5000 0.0000 1
Mg3 0.5000 0.0000 0.0000 1
Cd1 0.0000 0.0000 0.0000 1
Ge1 0.5000 0.5000 0.5000 1
```